[1]
Material: Zr3FeCo
Method: DFT, PBE
State: relaxed

Computed properties:
polymorph energy (0 for the lowest one) = 0.000 eV/atom
crystal system = cubic
total magnetic moment = 0.000 μB/cell
volume = 21.24 Å³/atom
formation enthalpy at 0 K = 0.5870 eV/atom

Cell and atoms, written as POSCAR:
```
Zr3FeCo
1.0
4.735 0.000 0.000
0.000 4.735 0.000
0.000 0.000 4.735
Zr Fe Co
3 1 1
direct
0.000 0.000 0.500 Zr
0.000 0.500 0.000 Zr
0.500 0.000 0.000 Zr
0.000 0.000 0.000 Fe
0.500 0.500 0.500 Co
```

---

[2]
Material: ZnGa3As
Method: DFT, PBE
State: relaxed

Computed properties:
polymorph energy (0 for the lowest one) = 0.000 eV/atom
crystal system = cubic
total magnetic moment = 0.000 μB/cell
volume = 22.15 Å³/atom
formation enthalpy at 0 K = 0.3703 eV/atom

Cell and atoms, written as POSCAR:
```
ZnGa3As
1.0
4.802 0.000 0.000
0.000 4.802 0.000
0.000 0.000 4.802
Zn Ga As
1 3 1
direct
0.000 0.000 0.000 Zn
0.000 0.000 0.500 Ga
0.000 0.500 0.000 Ga
0.500 0.000 0.000 Ga
0.500 0.500 0.500 As
```

---

[3]
Material: LaMo2Ru2
Method: DFT, PBE
State: relaxed

Computed properties:
polymorph energy (0 for the lowest one) = 0.000 eV/atom
crystal system = tetragonal
total magnetic moment = 0.000 μB/cell
volume = 20.10 Å³/atom
formation enthalpy at 0 K = -0.0077 eV/atom

Cell and atoms, written as POSCAR:
```
LaMo2Ru2
1.0
-2.197 2.197 5.203
2.197 -2.197 5.203
2.197 2.197 -5.203
La Mo Ru
1 2 2
direct
0.000 0.000 0.000 La
0.250 0.750 0.500 Mo
0.750 0.250 0.500 Mo
0.368 0.368 0.000 Ru
0.632 0.632 0.000 Ru
```

---

[4]
Material: Pr3NdIn2
Method: DFT, PBE
State: relaxed

Computed properties:
polymorph energy (0 for the lowest one) = 0.000 eV/atom
crystal system = orthorhombic
total magnetic moment = 0.000 μB/cell
volume = 31.92 Å³/atom
formation enthalpy at 0 K = -0.3471 eV/atom

Cell and atoms, written as POSCAR:
```
Pr3NdIn2
1.0
5.394 0.000 0.000
0.000 10.245 0.000
0.000 0.000 6.932
Pr Nd In
6 2 4
direct
0.000 0.041 0.000 Pr
0.000 0.323 0.342 Pr
0.000 0.677 0.842 Pr
0.000 0.959 0.500 Pr
0.500 0.178 0.728 Pr
0.500 0.822 0.228 Pr
0.500 0.459 0.069 Nd
0.500 0.541 0.569 Nd
0.000 0.357 0.823 In
0.000 0.643 0.323 In
0.500 0.144 0.248 In
0.500 0.856 0.748 In
```

---

[5]
Material: PmPrY2Tm5
Method: DFT, PBE
State: relaxed

Computed properties:
crystal system = tetragonal
total magnetic moment = 0.000 μB/cell
volume = 32.05 Å³/atom
formation enthalpy at 0 K = 0.2878 eV/atom

Cell and atoms, written as POSCAR:
```
PmPrY2Tm5
1.0
-4.377 4.377 7.527
4.377 -4.377 7.527
4.377 4.377 -7.527
Pm Pr Y Tm
2 2 4 10
direct
0.250 0.250 0.000 Pm
0.750 0.750 0.000 Pm
0.250 0.750 0.500 Pr
0.750 0.250 0.500 Pr
0.116 0.616 0.733 Y
0.384 0.116 0.500 Y
0.616 0.884 0.500 Y
0.884 0.384 0.267 Y
0.000 0.000 0.000 Tm
0.070 0.160 0.500 Tm
0.160 0.660 0.090 Tm
0.340 0.430 0.500 Tm
0.430 0.930 0.090 Tm
0.500 0.500 0.000 Tm
0.570 0.070 0.910 Tm
0.660 0.570 0.500 Tm
0.840 0.340 0.910 Tm
0.930 0.840 0.500 Tm
```

---

[6]
Material: CaRe2Te
Method: DFT, PBE
State: relaxed

Computed properties:
crystal system = orthorhombic
total magnetic moment = 0.000 μB/cell
volume = 20.64 Å³/atom
uncorrected formation energy = 0.90 eV/atom

Cell and atoms, written as POSCAR:
```
CaRe2Te
1.0
3.116 0.000 0.000
0.000 4.536 0.000
0.000 0.000 5.841
Ca Re Te
1 2 1
direct
0.000 0.000 0.000 Ca
0.500 0.500 0.299 Re
0.500 0.500 0.701 Re
0.000 0.000 0.500 Te
```

---

[7]
Material: GaGeOF2
Method: DFT, PBE
State: relaxed

Computed properties:
polymorph energy (0 for the lowest one) = 0.000 eV/atom
crystal system = tetragonal
total magnetic moment = 0.000 μB/cell
volume = 14.55 Å³/atom
uncorrected formation energy = -1.46 eV/atom

Cell and atoms, written as POSCAR:
```
GaGeOF2
1.0
4.373 0.000 0.000
0.000 4.373 0.000
0.000 0.000 3.805
Ga Ge O F
1 1 1 2
direct
0.000 0.000 0.000 Ga
0.500 0.500 0.500 Ge
0.500 0.500 0.000 O
0.000 0.500 0.500 F
0.500 0.000 0.500 F
```

---

[8]
Material: Y3Ga8Ni3
Method: DFT, PBE
State: relaxed

Computed properties:
polymorph energy (0 for the lowest one) = 0.000 eV/atom
crystal system = monoclinic
total magnetic moment = 0.000 μB/cell
volume = 17.65 Å³/atom
formation enthalpy at 0 K = -0.5705 eV/atom

Cell and atoms, written as POSCAR:
```
Y3Ga8Ni3
1.0
7.780 -2.093 0.000
7.780 2.093 0.000
-5.706 0.000 7.587
Y Ga Ni
3 8 3
direct
0.000 0.000 0.000 Y
0.300 0.300 0.290 Y
0.623 0.623 0.620 Y
0.152 0.152 0.885 Ga
0.155 0.155 0.415 Ga
0.308 0.308 0.807 Ga
0.463 0.463 0.731 Ga
0.467 0.467 0.197 Ga
0.806 0.806 0.027 Ga
0.807 0.807 0.585 Ga
0.965 0.965 0.560 Ga
0.646 0.646 0.011 Ni
0.652 0.652 0.278 Ni
0.969 0.969 0.317 Ni
```

---

Number 2 is which compound? ZnGa3As

---

Copy entry 8 word for word.
Material: Y3Ga8Ni3
Method: DFT, PBE
State: relaxed

Computed properties:
polymorph energy (0 for the lowest one) = 0.000 eV/atom
crystal system = monoclinic
total magnetic moment = 0.000 μB/cell
volume = 17.65 Å³/atom
formation enthalpy at 0 K = -0.5705 eV/atom

Cell and atoms, written as POSCAR:
```
Y3Ga8Ni3
1.0
7.780 -2.093 0.000
7.780 2.093 0.000
-5.706 0.000 7.587
Y Ga Ni
3 8 3
direct
0.000 0.000 0.000 Y
0.300 0.300 0.290 Y
0.623 0.623 0.620 Y
0.152 0.152 0.885 Ga
0.155 0.155 0.415 Ga
0.308 0.308 0.807 Ga
0.463 0.463 0.731 Ga
0.467 0.467 0.197 Ga
0.806 0.806 0.027 Ga
0.807 0.807 0.585 Ga
0.965 0.965 0.560 Ga
0.646 0.646 0.011 Ni
0.652 0.652 0.278 Ni
0.969 0.969 0.317 Ni
```

---

Which of these has the lowest volume? GaGeOF2

---

total magnetic moment of number 7 (GaGeOF2)? 0.000 μB/cell